Record 1
Compound: PmEr3Sn2
Source: the Alexandria database
Functional: PBE
Structure: optimized geometry

- Volume: 29.56 A^3/atom
- Formation energy from the elements: -47 kJ/mol of atoms
- M_tot: 0.5 μB per cell

Cell: 17.923 4.556 9.464 Å, 90.00 113.37 90.00°
Space group C2/m (No. 12)
Symmetry-distinct sites (fractional):
Pm 0.114 0.000 0.133 [4 per cell]
Er 0.056 0.000 0.690 [4 per cell]
Er 0.144 0.500 0.483 [4 per cell]
Er 0.192 0.500 0.888 [4 per cell]
Sn 0.011 0.500 0.854 [4 per cell]
Sn 0.243 0.000 0.713 [4 per cell]

Record 2
Compound: Pm2Er5Sn5
Source: the Alexandria database
Functional: PBE
Structure: optimized geometry

- Volume: 29.38 A^3/atom
- Formation energy from the elements: -51 kJ/mol of atoms
- M_tot: 0.0 μB per cell

Cell: 12.871 4.850 12.003 Å, 90.00 109.77 90.00°
Space group C2/m (No. 12)
Symmetry-distinct sites (fractional):
Pm 0.073 0.000 0.258 [4 per cell]
Er 0.000 0.500 0.000 [2 per cell]
Er 0.151 0.500 0.512 [4 per cell]
Er 0.160 0.500 0.807 [4 per cell]
Sn 0.000 0.000 0.500 [2 per cell]
Sn 0.136 0.000 0.972 [4 per cell]
Sn 0.241 0.500 0.297 [4 per cell]

Record 3
Compound: Pm3Er5Sn2
Source: the Alexandria database
Functional: PBE
Structure: optimized geometry

- Volume: 31.67 A^3/atom
- Formation energy from the elements: -8 kJ/mol of atoms
- M_tot: 0.0 μB per cell

Cell: 12.767 15.584 6.367 Å, 90.00 90.00 90.00°
Space group Ibam (No. 72)
Symmetry-distinct sites (fractional):
Pm 0.000 0.000 0.250 [4 per cell]
Pm 0.126 0.223 0.000 [8 per cell]
Er 0.000 0.500 0.250 [4 per cell]
Er 0.102 0.336 0.500 [8 per cell]
Er 0.247 0.500 0.250 [8 per cell]
Sn 0.142 0.148 0.500 [8 per cell]

Record 4
Compound: PmEr4Sn4
Source: the Alexandria database
Functional: PBE
Structure: optimized geometry

- Volume: 32.59 A^3/atom
- Formation energy from the elements: -39 kJ/mol of atoms
- M_tot: 0.0 μB per cell

Cell: 9.819 9.819 6.084 Å, 90.00 90.00 90.00°
Space group P4_2/n (No. 86, origin choice 2)
Symmetry-distinct sites (fractional):
Pm 0.250 0.250 0.250 [2 per cell]
Er 0.098 0.647 0.142 [8 per cell]
Sn 0.038 0.611 0.653 [8 per cell]